[1]
# Sr4Li2I9 PBE relaxed
data_Sr4Li2I9
_cell_length_a 8.063
_cell_length_b 8.065
_cell_length_c 22.287
_cell_angle_alpha 90.00
_cell_angle_beta 90.01
_cell_angle_gamma 60.01
_symmetry_space_group_name_H-M 'P 1'
_symmetry_Int_Tables_number 1
loop_
_symmetry_equiv_pos_as_xyz
'x,y,z'
loop_
_atom_site_label
_atom_site_type_symbol
_atom_site_fract_x
_atom_site_fract_y
_atom_site_fract_z
Sr1 Sr 0.333 0.334 0.990
Sr2 Sr 0.333 0.333 0.490
Sr3 Sr 0.667 0.666 0.010
Sr4 Sr 0.333 0.333 0.179
Sr5 Sr 0.667 0.667 0.510
Sr6 Sr 0.666 0.667 0.321
Sr7 Sr 0.334 0.333 0.679
Sr8 Sr 0.667 0.667 0.821
Li1 Li 0.999 0.001 0.337
Li2 Li 0.000 0.999 0.163
Li3 Li 0.001 0.999 0.663
Li4 Li 0.000 0.001 0.837
I1 I 0.001 0.293 0.750
I2 I 0.294 0.707 0.750
I3 I 0.707 0.000 0.750
I4 I 0.999 0.707 0.250
I5 I 0.706 0.293 0.250
I6 I 0.293 0.000 0.250
I7 I 0.689 0.979 0.414
I8 I 0.979 0.332 0.414
I9 I 0.332 0.689 0.415
I10 I 0.667 0.021 0.086
I11 I 0.311 0.668 0.086
I12 I 0.021 0.310 0.085
I13 I 0.311 0.021 0.586
I14 I 0.021 0.668 0.586
I15 I 0.668 0.311 0.585
I16 I 0.333 0.979 0.914
I17 I 0.689 0.332 0.914
I18 I 0.979 0.690 0.915
# E_form (uncorrected): -1430 meV per atom
# space-group type: P-1, No. 2

[2]
# SrMo2Pt PBE relaxed
data_SrMo2Pt
_cell_length_a 5.329
_cell_length_b 2.903
_cell_length_c 5.055
_cell_angle_alpha 86.41
_cell_angle_beta 90.00
_cell_angle_gamma 90.00
_symmetry_space_group_name_H-M 'P 1'
_symmetry_Int_Tables_number 1
loop_
_symmetry_equiv_pos_as_xyz
'x,y,z'
loop_
_atom_site_label
_atom_site_type_symbol
_atom_site_fract_x
_atom_site_fract_y
_atom_site_fract_z
Mo1 Mo 0.000 0.122 0.012
Mo2 Mo 0.000 0.378 0.488
Pt1 Pt 0.500 0.250 0.250
Sr1 Sr 0.500 0.750 0.750
# energy relative to the elements: 0.576 eV/atom
# space-group type: P2/m, No. 10

[3]
# InAgGe PBE relaxed
data_InAgGe
_cell_length_a 5.734
_cell_length_b 5.873
_cell_length_c 4.188
_cell_angle_alpha 89.97
_cell_angle_beta 90.10
_cell_angle_gamma 108.04
_symmetry_space_group_name_H-M 'P 1'
_symmetry_Int_Tables_number 1
loop_
_symmetry_equiv_pos_as_xyz
'x,y,z'
loop_
_atom_site_label
_atom_site_type_symbol
_atom_site_fract_x
_atom_site_fract_y
_atom_site_fract_z
Ge1 Ge 0.419 0.175 0.960
Ge2 Ge 0.382 0.680 0.960
Ag1 Ag 0.176 0.873 0.459
Ag2 Ag 0.143 0.362 0.459
In1 In 0.707 0.508 0.461
In2 In 0.863 0.024 0.959
# energy relative to the elements: 0.138 eV/atom
# space-group type: P1, No. 1

[4]
# CeMgSc2 PBE relaxed
data_CeMgSc2
_cell_length_a 3.230
_cell_length_b 3.230
_cell_length_c 11.310
_cell_angle_alpha 81.79
_cell_angle_beta 81.79
_cell_angle_gamma 60.00
_symmetry_space_group_name_H-M 'P 1'
_symmetry_Int_Tables_number 1
loop_
_symmetry_equiv_pos_as_xyz
'x,y,z'
loop_
_atom_site_label
_atom_site_type_symbol
_atom_site_fract_x
_atom_site_fract_y
_atom_site_fract_z
Ce1 Ce 0.004 0.004 0.987
Mg1 Mg 0.249 0.249 0.253
Sc1 Sc 0.835 0.835 0.496
Sc2 Sc 0.423 0.423 0.732
# energy relative to the elements: 0.063 eV/atom
# space-group type: R3m, No. 160

[5]
# ThGaRh PBE relaxed
data_ThGaRh
_cell_length_a 4.638
_cell_length_b 4.638
_cell_length_c 4.638
_cell_angle_alpha 60.00
_cell_angle_beta 60.00
_cell_angle_gamma 60.00
_symmetry_space_group_name_H-M 'P 1'
_symmetry_Int_Tables_number 1
loop_
_symmetry_equiv_pos_as_xyz
'x,y,z'
loop_
_atom_site_label
_atom_site_type_symbol
_atom_site_fract_x
_atom_site_fract_y
_atom_site_fract_z
Rh1 Rh 0.250 0.250 0.250
Ga1 Ga 0.000 0.000 0.000
Th1 Th 0.500 0.500 0.500
# energy relative to the elements: -0.675 eV/atom
# space-group type: F-43m, No. 216

[6]
# NdY6Ho5 PBE relaxed
data_NdY6Ho5
_cell_length_a 11.802
_cell_length_b 6.169
_cell_length_c 6.164
_cell_angle_alpha 59.97
_cell_angle_beta 85.03
_cell_angle_gamma 80.02
_symmetry_space_group_name_H-M 'P 1'
_symmetry_Int_Tables_number 1
loop_
_symmetry_equiv_pos_as_xyz
'x,y,z'
loop_
_atom_site_label
_atom_site_type_symbol
_atom_site_fract_x
_atom_site_fract_y
_atom_site_fract_z
Nd1 Nd 0.000 0.000 0.000
Y1 Y 0.749 0.083 0.334
Y2 Y 0.251 0.583 0.334
Y3 Y 0.251 0.251 0.000
Y4 Y 0.749 0.749 0.000
Y5 Y 0.749 0.417 0.666
Y6 Y 0.251 0.917 0.666
Ho1 Ho 0.500 0.167 0.666
Ho2 Ho 0.000 0.333 0.333
Ho3 Ho 0.500 0.500 0.000
Ho4 Ho 0.000 0.667 0.667
Ho5 Ho 0.500 0.833 0.334
# energy relative to the elements: 0.021 eV/atom
# space-group type: C2/m, No. 12

[7]
# Mg6ZnBi2 PBE relaxed
data_Mg6ZnBi2
_cell_length_a 7.535
_cell_length_b 7.535
_cell_length_c 8.568
_cell_angle_alpha 88.34
_cell_angle_beta 88.34
_cell_angle_gamma 115.78
_symmetry_space_group_name_H-M 'P 1'
_symmetry_Int_Tables_number 1
loop_
_symmetry_equiv_pos_as_xyz
'x,y,z'
loop_
_atom_site_label
_atom_site_type_symbol
_atom_site_fract_x
_atom_site_fract_y
_atom_site_fract_z
Mg1 Mg 0.674 0.710 0.218
Mg2 Mg 0.290 0.326 0.282
Mg3 Mg 0.326 0.290 0.782
Mg4 Mg 0.710 0.674 0.718
Mg5 Mg 0.016 0.565 0.275
Mg6 Mg 0.435 0.984 0.225
Mg7 Mg 0.984 0.435 0.725
Mg8 Mg 0.565 0.016 0.775
Mg9 Mg 0.163 0.931 0.554
Mg10 Mg 0.069 0.837 0.946
Mg11 Mg 0.837 0.069 0.446
Mg12 Mg 0.931 0.163 0.054
Zn1 Zn 0.052 0.948 0.250
Zn2 Zn 0.948 0.052 0.750
Bi1 Bi 0.336 0.634 0.988
Bi2 Bi 0.366 0.664 0.512
Bi3 Bi 0.664 0.366 0.012
Bi4 Bi 0.634 0.336 0.488
# energy relative to the elements: -0.094 eV/atom
# space-group type: C2/c, No. 15

[8]
# Br3Cl PBE relaxed
data_Br3Cl
_cell_length_a 5.229
_cell_length_b 5.229
_cell_length_c 5.229
_cell_angle_alpha 60.00
_cell_angle_beta 60.00
_cell_angle_gamma 60.00
_symmetry_space_group_name_H-M 'P 1'
_symmetry_Int_Tables_number 1
loop_
_symmetry_equiv_pos_as_xyz
'x,y,z'
loop_
_atom_site_label
_atom_site_type_symbol
_atom_site_fract_x
_atom_site_fract_y
_atom_site_fract_z
Br1 Br 0.250 0.250 0.250
Br2 Br 0.750 0.750 0.750
Br3 Br 0.500 0.500 0.500
Cl1 Cl 0.000 0.000 0.000
# E_form (uncorrected): 691 meV per atom
# space-group type: Fm-3m, No. 225

Number 1: volume 41.842 Å³/atom. Number 2: volume 19.509 Å³/atom. Number 3: volume 22.351 Å³/atom. Number 4: volume 25.190 Å³/atom. Number 5: volume 23.512 Å³/atom. Number 6: volume 31.885 Å³/atom. Number 7: volume 24.299 Å³/atom. Number 8: volume 25.278 Å³/atom.